Computed, not measured: a relaxed KB4Pt crystal at the PBE level of DFT.

CIF file:
```
data_KB4Pt
_space_group_name_H-M_alt 'I m m m'
_space_group_IT_number 71
_space_group_name_Hall '-I 2 2'
_cell_length_a 2.630
_cell_length_b 5.793
_cell_length_c 8.865
_cell_angle_alpha 90.00
_cell_angle_beta 90.00
_cell_angle_gamma 90.00
loop_
_atom_site_label
_atom_site_fract_x
_atom_site_fract_y
_atom_site_fract_z
K1 0.000 0.000 0.000
B1 0.000 0.356 0.227
Pt1 0.000 0.000 0.500
```

Output
E	-5.22	eV per atom
calculated volume	135.0	Å³ per cell
E above lowest polymorph	93	meV/atom

Computed, not measured: a relaxed K2B2Pt3 crystal at the PBE level of DFT.

CIF file:
```
data_K2B2Pt3
_space_group_name_H-M_alt 'P -1'
_space_group_IT_number 2
_cell_length_a 3.226
_cell_length_b 6.839
_cell_length_c 7.168
_cell_angle_alpha 109.85
_cell_angle_beta 90.44
_cell_angle_gamma 90.47
loop_
_space_group_symop_operation_xyz
'x,y,z'
'-x,-y,-z'
loop_
_atom_site_label
_atom_site_fract_x
_atom_site_fract_y
_atom_site_fract_z
K1 0.001 0.241 0.263
B1 0.004 0.684 0.184
Pt1 0.493 0.164 0.660
Pt2 0.500 0.500 0.000
```

Output
E	-5.11	eV per atom
calculated volume	148.7	Å³ per cell

Computed, not measured: a relaxed KPuB crystal at the PBE level of DFT.

CIF file:
```
data_KPuB
_space_group_name_H-M_alt 'F -4 3 m'
_space_group_IT_number 216
_space_group_name_Hall 'F -4 2 3'
_cell_length_a 6.674
_cell_length_b 6.674
_cell_length_c 6.674
_cell_angle_alpha 90.00
_cell_angle_beta 90.00
_cell_angle_gamma 90.00
loop_
_atom_site_label
_atom_site_fract_x
_atom_site_fract_y
_atom_site_fract_z
K1 0.000 0.000 0.000
Pu1 0.000 0.000 0.500
B1 0.250 0.250 0.250
```

Output
E	-6.17	eV per atom
calculated volume	297.3	Å³ per cell

Computed, not measured: a relaxed KTaB crystal at the PBE level of DFT.

CIF file:
```
data_KTaB
_space_group_name_H-M_alt 'F -4 3 m'
_space_group_IT_number 216
_space_group_name_Hall 'F -4 2 3'
_cell_length_a 6.113
_cell_length_b 6.113
_cell_length_c 6.113
_cell_angle_alpha 90.00
_cell_angle_beta 90.00
_cell_angle_gamma 90.00
loop_
_atom_site_label
_atom_site_fract_x
_atom_site_fract_y
_atom_site_fract_z
K1 0.000 0.000 0.000
Ta1 0.000 0.000 0.500
B1 0.250 0.250 0.250
```

Output
E	-4.59	eV per atom
calculated volume	228.4	Å³ per cell
E above lowest polymorph	0	meV/atom

Computed, not measured: a relaxed KTaB4 crystal at the PBE level of DFT.

CIF file:
```
data_KTaB4
_space_group_name_H-M_alt 'P 6/m m m'
_space_group_IT_number 191
_space_group_name_Hall '-P 6 2'
_cell_length_a 3.0750
_cell_length_b 3.0750
_cell_length_c 8.3486
_cell_angle_alpha 90.00
_cell_angle_beta 90.00
_cell_angle_gamma 120.00
loop_
_atom_site_label
_atom_site_fract_x
_atom_site_fract_y
_atom_site_fract_z
K1 0.0000 0.0000 0.0000
Ta1 0.0000 0.0000 0.5000
B1 0.3333 0.6667 0.3015
```

Output
E	-6.89	eV per atom
calculated volume	68.4	Å³ per cell
E above lowest polymorph	0	meV/atom

Computed, not measured: a relaxed KTaB crystal at the PBE level of DFT.

CIF file:
```
data_KTaB
_space_group_name_H-M_alt 'F -4 3 m'
_space_group_IT_number 216
_space_group_name_Hall 'F -4 2 3'
_cell_length_a 6.244
_cell_length_b 6.244
_cell_length_c 6.244
_cell_angle_alpha 90.00
_cell_angle_beta 90.00
_cell_angle_gamma 90.00
loop_
_atom_site_label
_atom_site_fract_x
_atom_site_fract_y
_atom_site_fract_z
K1 0.000 0.000 0.000
Ta1 0.250 0.250 0.250
B1 0.250 0.250 0.750
```

Output
E	-3.26	eV per atom
calculated volume	243.4	Å³ per cell
E above lowest polymorph	1327	meV/atom

Computed, not measured: a relaxed KTaB4 crystal at the PBE level of DFT.

CIF file:
```
data_KTaB4
_space_group_name_H-M_alt 'I m m m'
_space_group_IT_number 71
_space_group_name_Hall '-I 2 2'
_cell_length_a 3.051
_cell_length_b 5.688
_cell_length_c 7.467
_cell_angle_alpha 90.00
_cell_angle_beta 90.00
_cell_angle_gamma 90.00
loop_
_atom_site_label
_atom_site_fract_x
_atom_site_fract_y
_atom_site_fract_z
K1 0.000 0.000 0.000
Ta1 0.000 0.000 0.500
B1 0.000 0.327 0.236
```

Output
E	-6.28	eV per atom
calculated volume	129.6	Å³ per cell
E above lowest polymorph	611	meV/atom

Computed, not measured: a relaxed KTbB4 crystal at the PBE level of DFT.

CIF file:
```
data_KTbB4
_space_group_name_H-M_alt 'P 6/m m m'
_space_group_IT_number 191
_space_group_name_Hall '-P 6 2'
_cell_length_a 3.2206
_cell_length_b 3.2206
_cell_length_c 8.8533
_cell_angle_alpha 90.00
_cell_angle_beta 90.00
_cell_angle_gamma 120.00
loop_
_atom_site_label
_atom_site_fract_x
_atom_site_fract_y
_atom_site_fract_z
K1 0.0000 0.0000 0.0000
Tb1 0.0000 0.0000 0.5000
B1 0.3333 0.6667 0.2824
```

Output
E	-5.37	eV per atom
calculated volume	79.5	Å³ per cell
E above lowest polymorph	0	meV/atom

Computed, not measured: a relaxed KTbB4 crystal at the PBE level of DFT.

CIF file:
```
data_KTbB4
_space_group_name_H-M_alt 'I m m m'
_space_group_IT_number 71
_space_group_name_Hall '-I 2 2'
_cell_length_a 3.111
_cell_length_b 7.665
_cell_length_c 7.751
_cell_angle_alpha 90.00
_cell_angle_beta 90.00
_cell_angle_gamma 90.00
loop_
_atom_site_label
_atom_site_fract_x
_atom_site_fract_y
_atom_site_fract_z
K1 0.000 0.000 0.000
Tb1 0.000 0.000 0.500
B1 0.000 0.266 0.242
```

Output
E	-5.33	eV per atom
calculated volume	184.8	Å³ per cell
E above lowest polymorph	35	meV/atom

Computed, not measured: a relaxed KThB4 crystal at the PBE level of DFT.

CIF file:
```
data_KThB4
_space_group_name_H-M_alt 'P 6/m m m'
_space_group_IT_number 191
_space_group_name_Hall '-P 6 2'
_cell_length_a 3.2484
_cell_length_b 3.2484
_cell_length_c 9.1280
_cell_angle_alpha 90.00
_cell_angle_beta 90.00
_cell_angle_gamma 120.00
loop_
_atom_site_label
_atom_site_fract_x
_atom_site_fract_y
_atom_site_fract_z
K1 0.0000 0.0000 0.0000
Th1 0.0000 0.0000 0.5000
B1 0.3333 0.6667 0.2733
```

Output
E	-5.78	eV per atom
calculated volume	83.4	Å³ per cell
E above lowest polymorph	51	meV/atom

Computed, not measured: a relaxed KThB4 crystal at the PBE level of DFT.

CIF file:
```
data_KThB4
_space_group_name_H-M_alt 'I m m m'
_space_group_IT_number 71
_space_group_name_Hall '-I 2 2'
_cell_length_a 3.129
_cell_length_b 7.754
_cell_length_c 7.808
_cell_angle_alpha 90.00
_cell_angle_beta 90.00
_cell_angle_gamma 90.00
loop_
_atom_site_label
_atom_site_fract_x
_atom_site_fract_y
_atom_site_fract_z
K1 0.000 0.000 0.000
Th1 0.000 0.000 0.500
B1 0.000 0.269 0.239
```

Output
E	-5.83	eV per atom
calculated volume	189.5	Å³ per cell
E above lowest polymorph	0	meV/atom

Computed, not measured: a relaxed KTmB4 crystal at the PBE level of DFT.

CIF file:
```
data_KTmB4
_space_group_name_H-M_alt 'P 6/m m m'
_space_group_IT_number 191
_space_group_name_Hall '-P 6 2'
_cell_length_a 3.1959
_cell_length_b 3.1959
_cell_length_c 8.7327
_cell_angle_alpha 90.00
_cell_angle_beta 90.00
_cell_angle_gamma 120.00
loop_
_atom_site_label
_atom_site_fract_x
_atom_site_fract_y
_atom_site_fract_z
K1 0.0000 0.0000 0.0000
Tm1 0.0000 0.0000 0.5000
B1 0.3333 0.6667 0.2856
```

Output
E	-5.41	eV per atom
calculated volume	77.2	Å³ per cell
E above lowest polymorph	0	meV/atom

Computed, not measured: a relaxed KTmB4 crystal at the PBE level of DFT.

CIF file:
```
data_KTmB4
_space_group_name_H-M_alt 'I m m m'
_space_group_IT_number 71
_space_group_name_Hall '-I 2 2'
_cell_length_a 3.138
_cell_length_b 5.901
_cell_length_c 8.304
_cell_angle_alpha 90.00
_cell_angle_beta 90.00
_cell_angle_gamma 90.00
loop_
_atom_site_label
_atom_site_fract_x
_atom_site_fract_y
_atom_site_fract_z
K1 0.000 0.000 0.000
Tm1 0.000 0.000 0.500
B1 0.000 0.311 0.240
```

Output
E	-5.19	eV per atom
calculated volume	153.7	Å³ per cell
E above lowest polymorph	223	meV/atom

Computed, not measured: a relaxed KUB crystal at the PBE level of DFT.

CIF file:
```
data_KUB
_space_group_name_H-M_alt 'F -4 3 m'
_space_group_IT_number 216
_space_group_name_Hall 'F -4 2 3'
_cell_length_a 6.483
_cell_length_b 6.483
_cell_length_c 6.483
_cell_angle_alpha 90.00
_cell_angle_beta 90.00
_cell_angle_gamma 90.00
loop_
_atom_site_label
_atom_site_fract_x
_atom_site_fract_y
_atom_site_fract_z
K1 0.000 0.000 0.000
U1 0.000 0.000 0.500
B1 0.250 0.250 0.250
```

Output
E	-4.81	eV per atom
calculated volume	272.4	Å³ per cell
E above lowest polymorph	0	meV/atom